[1]
Compound: NaLi2SmF6
Source: the Alexandria database
Functional: PBE
Structure: relaxed

Calculated values
ΔE_f (raw) in kcal/mol of atoms: -76.7

Geometry as CIF:
```
data_NaLi2SmF6
_symmetry_space_group_name_H-M 'P 1'
_symmetry_Int_Tables_number 1
_cell_length_a 5.417
_cell_length_b 5.472
_cell_length_c 5.507
_cell_angle_alpha 119.15
_cell_angle_beta 118.94
_cell_angle_gamma 90.95
loop_
_symmetry_equiv_pos_as_xyz
'x,y,z'
loop_
_atom_site_label
_atom_site_type_symbol
_atom_site_fract_x
_atom_site_fract_y
_atom_site_fract_z
Na1 Na 0.000 0.000 0.000
Li1 Li 0.232 0.737 0.506
Li2 Li 0.726 0.231 0.495
Sm1 Sm 0.448 0.511 0.001
F1 F 0.039 0.541 0.620
F2 F 0.070 0.064 0.640
F3 F 0.421 0.921 0.382
F4 F 0.429 0.424 0.361
F5 F 0.590 0.923 0.000
F6 F 0.856 0.461 0.001
```



[2]
Compound: Na2LiSnF
Source: the Alexandria database
Functional: PBE
Structure: relaxed

Calculated values
ΔE_f (raw) in kcal/mol of atoms: -25.9

Geometry as CIF:
```
data_Na2LiSnF
_symmetry_space_group_name_H-M 'P 4/m m m'
_symmetry_Int_Tables_number 123
_symmetry_space_group_name_Hall '-P 4 2'
_cell_length_a 5.107
_cell_length_b 5.107
_cell_length_c 3.897
_cell_angle_alpha 90.00
_cell_angle_beta 90.00
_cell_angle_gamma 90.00
loop_
_atom_site_label
_atom_site_type_symbol
_atom_site_fract_x
_atom_site_fract_y
_atom_site_fract_z
Na1 Na 0.000 0.500 0.000
Li1 Li 0.000 0.000 0.500
Sn1 Sn 0.500 0.500 0.500
F1 F 0.000 0.000 0.000
```



Number 1 is which compound? NaLi2SmF6



Look up the ΔE_f (raw) of the first one. -76.7 kcal/mol of atoms



The highest ΔE_f (raw) belongs to which entry? Na2LiSnF



Which value of ΔE_f (raw) does entry 2 give? -25.9 kcal/mol of atoms